Computed, not measured: NiBr3 after structural relaxation at the GGA-PBE level of DFT.

Properties
E_form (uncorrected) = 0.215 eV per atom
total DFT energy (no corrections) = -39.76 eV/cell
crystal system = hexagonal

The structure in CIF format:
```
data_NiBr3
_chemical_formula_sum 'Ni4 Br12'
_space_group_name_H-M_alt 'P 63/m m c'
_space_group_IT_number 194
_space_group_name_Hall '-P 6c 2c'
_cell_length_a 8.7505
_cell_length_b 8.7505
_cell_length_c 6.3186
_cell_angle_alpha 90.00
_cell_angle_beta 90.00
_cell_angle_gamma 120.00
loop_
_atom_site_label
_atom_site_fract_x
_atom_site_fract_y
_atom_site_fract_z
Ni1 0.0000 0.0000 0.0000
Ni2 0.3333 0.6667 0.2500
Br1 0.0000 0.5000 0.0000
Br2 0.1202 0.2404 0.7500
```